Entry from Alexandria: a geometry-optimized TiAg2Ru structure (GGA-PBE).

Cell lengths 3.6905, 3.6905, 10.5098 Å; angles 79.89, 79.89, 90.00 degrees
Element x y z (fractional)
Ru: 0.0000 0.0000 0.0000
Ru: 0.7500 0.2500 0.5000
Ti: 0.2500 0.7500 0.5000
Ag: 0.6282 0.1250 0.2500
Ti: 0.5000 0.5000 0.0000
Ag: 0.1218 0.6250 0.2500
Ag: 0.8750 0.8782 0.7500
Ag: 0.3750 0.3718 0.7500

Calculated formation energy ... 0.326 eV/atom
Total DFT energy (no corrections) ... -43.14 eV per cell
Excess energy over the best structure of this formula in the dataset ... 0.000 eV per atom